Material: LiNpRh6
Method: DFT, PBE-GGA
State: relaxed

```
LiNpRh6
1.0
4.5110 0.0000 0.0000
0.0000 5.5666 0.0000
0.0000 0.0000 4.7972
Li Np Rh
1 1 6
Cartesian
0.0000 0.0000 0.0000 Li
2.2555 2.7833 1.6313 Np
0.0000 1.3615 2.3875 Rh
0.0000 2.7833 4.7612 Rh
0.0000 4.2051 2.3875 Rh
2.2555 0.0000 1.5864 Rh
2.2555 1.4192 4.0012 Rh
2.2555 4.1474 4.0012 Rh
```

theoretical density = 11.87 g/cm3
DFT formation energy = -186 meV per atom
V = 15.057 A^3/atom
magnetization = 0.853 μB per formula unit